Y2TaCd | PBE | optimized geometry

Output
volume	24.04	Å³/atom
uncorrected energy	-6.026	eV per atom
DOS at the Fermi energy	28.3	states/eV per cell
total magnetic moment	0.0	μB per formula unit

Lattice parameters (Å, degrees): 7.273 7.273 7.273 90.00 90.00 90.00
Space group F-43m (No. 216)
Symmetry-distinct sites (fractional):
Y 0.000 0.000 0.000
Y 0.250 0.250 0.250
Ta 0.250 0.250 0.750
Cd 0.000 0.000 0.500


Y2TaCd | PBE | optimized geometry

Output
volume	24.83	Å³/atom
uncorrected energy	-6.231	eV per atom
DOS at the Fermi energy	11.3	states/eV per cell
total magnetic moment	0.0	μB per formula unit

Lattice parameters (Å, degrees): 7.411 8.156 3.287 90.00 90.00 90.00
Space group Cmmm (No. 65)
Symmetry-distinct sites (fractional):
Y 0.250 0.250 0.000
Ta 0.000 0.000 0.500
Cd 0.000 0.500 0.500


Y2TaCd | PBE | optimized geometry

Output
volume	25.24	Å³/atom
uncorrected energy	-6.126	eV per atom
DOS at the Fermi energy	16.7	states/eV per cell
total magnetic moment	0.3	μB per formula unit

Lattice parameters (Å, degrees): 3.3009 3.3009 32.0959 90.00 90.00 120.00
Space group R3m (No. 160, hexagonal axes)
Symmetry-distinct sites (fractional):
Y 0.0000 0.0000 0.0000
Y 0.0000 0.0000 0.2343
Ta 0.0000 0.0000 0.7426
Cd 0.0000 0.0000 0.4838


Y2TaCd | PBE | optimized geometry

Output
volume	24.88	Å³/atom
uncorrected energy	-6.090	eV per atom
DOS at the Fermi energy	10.1	states/eV per cell
total magnetic moment	0.0	μB per formula unit

Lattice parameters (Å, degrees): 10.571 3.233 5.937 90.00 101.11 90.00
Space group C2/m (No. 12)
Symmetry-distinct sites (fractional):
Y 0.248 0.000 0.242
Ta 0.000 0.500 0.000
Cd 0.000 0.000 0.500


Y2TaCd | PBE | optimized geometry

Output
volume	25.32	Å³/atom
uncorrected energy	-6.203	eV per atom
DOS at the Fermi energy	17.2	states/eV per cell
total magnetic moment	0.9	μB per formula unit

Lattice parameters (Å, degrees): 3.3284 3.3284 31.6766 90.00 90.00 120.00
Space group R-3m (No. 166, hexagonal axes)
Symmetry-distinct sites (fractional):
Y 0.0000 0.0000 0.2461
Ta 0.0000 0.0000 0.5000
Cd 0.0000 0.0000 0.0000


YTa3Cd | PBE | optimized geometry

Output
volume	24.49	Å³/atom
relative energy among the computed polymorphs	465	meV/atom
uncorrected energy	-6.328	eV per atom
DOS at the Fermi energy	4.9	states/eV per cell
total magnetic moment	0.0	μB per formula unit

Lattice parameters (Å, degrees): 4.966 4.966 4.966 90.00 90.00 90.00
Space group Pm-3m (No. 221)
Symmetry-distinct sites (fractional):
Y 0.000 0.000 0.000
Ta 0.000 0.000 0.500
Cd 0.500 0.500 0.500